## PrAlAsO (PBE)

Data for a geometry-optimized PrAlAsO structure.

Cell: 4.4185 6.4793 5.9379 Å, 90.00 90.00 90.00°
Closest atoms and distances in Å follow each position.
Atoms (fractional coordinates):
Al1 0.0000 0.3834 0.0447  2 O 1.86-1.89
Al2 0.0000 0.6166 0.5447  2 O 1.86-1.89
As1 0.5000 0.7592 0.4220  2 Al 2.50
As2 0.5000 0.2408 0.9220  2 Al 2.50
O1 0.0000 0.3836 0.3628  2 Al 1.86-1.89
O2 0.0000 0.6164 0.8628  2 Al 1.86-1.89
Pr1 0.5000 0.2172 0.4245  2 O 2.49
Pr2 0.5000 0.7828 0.9245  2 O 2.49

Properties
SG: Pmc2_1 (26)
Volume in Å³ per cell: 170.00
Final energy in eV/atom: -6.135